The following is a PBE calculation of a geometry-optimized HfCdPd2Ru structure, from the Alexandria database.

a b c (Å): 4.9041 4.9041 4.7187
angles (deg): 90.00 90.00 90.00
With the nearest neighbours (Å) after each atom.
Space group P4/mmm (No. 123)
Asymmetric unit:
Hf 0.0000 0.0000 0.0000 x1  2 Ru 2.36, 4 Pd 2.45
Cd 0.5000 0.5000 0.5000 x1  8 Pd 3.40, 4 Ru 3.47
Pd 0.0000 0.5000 0.0000 x2  2 Hf 2.45
Ru 0.0000 0.0000 0.5000 x1  2 Hf 2.36

## Properties
- E_tot: -27.4 eV per cell
- Total magnetic moment: 0.00 μB per formula unit
- ΔE_f: 634 meV/atom
- Offset from the most stable computed form: 0.0 meV/atom

=====

The following is a PBE calculation of a geometry-optimized Nd2SmScTe4 structure, from the Alexandria database.

a b c (Å): 7.6257 4.3557 7.7106
angles (deg): 90.00 108.86 90.00
With the nearest neighbours (Å) after each atom.
Space group P2/m (No. 10)
Asymmetric unit:
Nd 0.0000 0.0000 0.0000 x1  6 Te 3.23
Nd 0.5000 0.5000 0.0000 x1  6 Te 3.14
Sm 0.0000 0.5000 0.5000 x1  6 Te 3.10
Sc 0.5000 0.0000 0.5000 x1  6 Te 3.01
Te 0.2562 0.0000 0.7381 x2  1 Sc 3.01, 2 Sm 3.10, 3 Nd 3.14-3.23
Te 0.2665 0.5000 0.2692 x2  2 Sc 3.01, 1 Sm 3.10, 3 Nd 3.14-3.23

## Properties
- Formation energy without anion corrections: -10.53 eV per formula unit
- E_tot: -43.7 eV per cell
- Total magnetic moment: 0.00 μB per formula unit

=====

The following is a PBE calculation of a geometry-optimized Na2YMoOs structure, from the Alexandria database.

a b c (Å): 5.2314 5.2314 4.7302
angles (deg): 90.00 90.00 90.00
With the nearest neighbours (Å) after each atom.
Space group P4/mmm (No. 123)
Asymmetric unit:
Na 0.0000 0.5000 0.0000 x2  2 Os 2.62
Y 0.0000 0.0000 0.5000 x1  8 Na 3.53, 4 Mo 3.70
Mo 0.5000 0.5000 0.5000 x1  2 Os 2.37
Os 0.5000 0.5000 0.0000 x1  2 Mo 2.37, 4 Na 2.62

## Properties
- E_tot: -25.2 eV per cell
- Total magnetic moment: 1.40 μB per formula unit
- ΔE_f: 1187 meV/atom

=====

The following is a PBE calculation of a geometry-optimized Pd5Br12Cl3 structure, from the Alexandria database.

a b c (Å): 16.9274 16.9274 16.9274
angles (deg): 90.00 90.00 90.00
With the nearest neighbours (Å) after each atom.
Space group Ia-3d (No. 230)
Asymmetric unit:
Pd 0.0000 0.0000 0.0000 x16  6 Br 2.59
Pd 0.0000 0.2500 0.3750 x24  4 Br 2.49
Br 0.0193 0.0233 0.6503 x96  2 Pd 2.49-2.59
Cl 0.0000 0.2500 0.1250 x24  4 Br 3.00

## Properties
- Formation energy without anion corrections: 1.27 eV per formula unit
- E_tot: -402.5 eV per cell
- Total magnetic moment: 0.00 μB per formula unit

=====

The following is a PBE calculation of a geometry-optimized Y3Ho2Er3 structure, from the Alexandria database.

a b c (Å): 9.0723 9.0723 11.1018
angles (deg): 90.00 90.00 120.00
With the nearest neighbours (Å) after each atom.
Space group R32 (No. 155, hexagonal axes)
Asymmetric unit:
Y 0.0000 0.2507 0.0000 x9  2 Er 3.21, 2 Ho 3.58
Ho 0.0000 0.0000 0.2515 x6  6 Er 3.57-3.59, 6 Y 3.58-3.60
Er 0.0000 0.7505 0.5000 x9  2 Y 3.21, 2 Ho 3.57

## Properties
- E_tot: -120.7 eV per cell
- Total magnetic moment: 6.91 μB per formula unit
- ΔE_f: 249 meV/atom
- Offset from the most stable computed form: 148.2 meV/atom

=====

The following is a PBE calculation of a geometry-optimized As2OsW structure, from the Alexandria database.

a b c (Å): 4.3885 4.3885 3.1083
angles (deg): 90.00 90.00 90.00
With the nearest neighbours (Å) after each atom.
Space group P4/mmm (No. 123)
Asymmetric unit:
As 0.0000 0.5000 0.0000 x2  4 W 2.69, 4 Os 2.69
Os 0.0000 0.0000 0.5000 x1  8 As 2.69
W 0.5000 0.5000 0.5000 x1  8 As 2.69

## Properties
- E_tot: -32.3 eV per cell
- Total magnetic moment: 0.00 μB per formula unit
- ΔE_f: 294 meV/atom
- Offset from the most stable computed form: 215.2 meV/atom

=====

The following is a PBE calculation of a geometry-optimized Al3CO structure, from the Alexandria database.

a b c (Å): 4.0401 4.0401 4.0401
angles (deg): 90.00 90.00 90.00
With the nearest neighbours (Å) after each atom.
Space group Pm-3m (No. 221)
Asymmetric unit:
Al 0.0000 0.0000 0.5000 x3  2 C 2.02
C 0.0000 0.0000 0.0000 x1  6 Al 2.02
O 0.5000 0.5000 0.5000 x1  12 Al 2.86

## Properties
- Formation energy without anion corrections: 1.96 eV per formula unit
- E_tot: -23.4 eV per cell
- Total magnetic moment: 0.00 μB per formula unit
- Offset from the most stable computed form: 0.0 meV/atom

=====

The following is a PBE calculation of a geometry-optimized PrSmIrPt structure, from the Alexandria database.

a b c (Å): 7.1400 7.1400 7.1400
angles (deg): 90.00 90.00 90.00
With the nearest neighbours (Å) after each atom.
Space group F-43m (No. 216)
Asymmetric unit:
Pr 0.0000 0.0000 0.0000 x4  4 Ir 3.09, 4 Pt 3.09
Sm 0.0000 0.0000 0.5000 x4  4 Ir 3.09, 4 Pt 3.09
Ir 0.2500 0.2500 0.7500 x4  4 Pr 3.09, 4 Sm 3.09
Pt 0.2500 0.2500 0.2500 x4  4 Pr 3.09, 4 Sm 3.09

## Properties
- E_tot: -110.8 eV per cell
- Total magnetic moment: 0.00 μB per formula unit
- ΔE_f: -823 meV/atom
- Offset from the most stable computed form: 68.5 meV/atom

=====

The following is a PBE calculation of a geometry-optimized La4HgGeN structure, from the Alexandria database.

a b c (Å): 7.0190 16.2712 7.0224
angles (deg): 90.00 90.00 90.00
With the nearest neighbours (Å) after each atom.
Space group Cmcm (No. 63)
Asymmetric unit:
La 0.0000 0.0686 0.2500 x4  1 Ge 3.01, 1 N 3.26
La 0.0000 0.4184 0.2500 x4  1 N 2.43
La 0.2500 0.2500 0.0000 x8  2 N 2.50
Hg 0.0000 0.3863 0.7500 x4  7 La 3.18-3.55
Ge 0.0000 0.1166 0.7500 x4  5 La 3.01-3.30
N 0.0000 0.2690 0.2500 x4  5 La 2.43-2.50

## Properties
- Formation energy without anion corrections: -5.42 eV per formula unit
- E_tot: -153.5 eV per cell
- Total magnetic moment: 0.00 μB per formula unit

=====

The following is a PBE calculation of a geometry-optimized ZrWBr2 structure, from the Alexandria database.

a b c (Å): 3.1154 3.9356 6.2741
angles (deg): 90.00 90.00 90.00
With the nearest neighbours (Å) after each atom.
Space group Pmmm (No. 47)
Asymmetric unit:
Zr 0.0000 0.0000 0.0000 x1  8 Br 2.97, 2 Zr 3.12, 2 W 3.14
W 0.0000 0.0000 0.5000 x1  8 Br 2.95, 2 W 3.12, 2 Zr 3.14
Br 0.5000 0.5000 0.2518 x2  4 W 2.95, 4 Zr 2.97, 4 Br 3.11-3.16

## Properties
- Formation energy without anion corrections: 3.47 eV per formula unit
- E_tot: -21.4 eV per cell
- Total magnetic moment: 0.01 μB per formula unit
- Offset from the most stable computed form: 936.6 meV/atom

=====

The following is a PBE calculation of a geometry-optimized TaZnRe2 structure, from the Alexandria database.

a b c (Å): 3.1769 4.4608 8.9003
angles (deg): 90.00 90.00 90.00
With the nearest neighbours (Å) after each atom.
Space group Cmm2 (No. 35)
Asymmetric unit:
Ta 0.0000 0.0000 0.0000 x2  4 Ta 2.74, 2 Re 2.75, 2 Zn 2.80
Zn 0.0000 0.5000 0.7411 x2  2 Re 2.72, 4 Zn 2.74, 2 Ta 2.80
Re 0.0000 0.0000 0.4936 x2  6 Re 2.67-2.74, 2 Zn 2.72
Re 0.0000 0.5000 0.2525 x2  6 Re 2.67-2.74, 2 Ta 2.75

## Properties
- E_tot: -74.7 eV per cell
- Total magnetic moment: 0.00 μB per formula unit
- ΔE_f: 165 meV/atom

=====

The following is a PBE calculation of a geometry-optimized La3TbSn2S structure, from the Alexandria database.

a b c (Å): 5.1654 5.3186 16.8486
angles (deg): 90.00 90.00 90.00
With the nearest neighbours (Å) after each atom.
Space group Immm (No. 71)
Asymmetric unit:
La 0.0000 0.0000 0.0000 x2  2 S 2.66
La 0.0000 0.5000 0.1714 x4  1 S 2.89
Tb 0.0000 0.0000 0.5000 x2  2 S 2.58
Sn 0.0000 0.5000 0.3671 x4  3 La 3.30-3.42, 2 Tb 3.48
S 0.0000 0.5000 0.0000 x2  2 Tb 2.58, 4 La 2.66-2.89

## Properties
- Formation energy without anion corrections: -6.76 eV per formula unit
- E_tot: -76.6 eV per cell
- Total magnetic moment: 0.00 μB per formula unit

=====

The following is a PBE calculation of a geometry-optimized TbZr2 structure, from the Alexandria database.

a b c (Å): 8.6443 8.6443 8.6443
angles (deg): 90.00 90.00 90.00
With the nearest neighbours (Å) after each atom.
Space group Fd-3m (No. 227, origin choice 2)
Asymmetric unit:
Tb 0.1250 0.1250 0.1250 x8  12 Zr 3.58, 4 Tb 3.74
Zr 0.0000 0.0000 0.5000 x16  6 Zr 3.06

## Properties
- E_tot: -167.9 eV per cell
- Total magnetic moment: 2.26 μB per formula unit
- ΔE_f: 246 meV/atom

=====

The following is a PBE calculation of a geometry-optimized ScTeBr structure, from the Alexandria database.

a b c (Å): 7.0678 6.4374 8.0591
angles (deg): 90.00 90.50 90.00
With the nearest neighbours (Å) after each atom.
Space group P2_1/c (No. 14)
Asymmetric unit:
Sc 0.2419 0.9997 0.1219 x4  3 Br 2.77-2.98, 3 Te 2.80-2.87
Te 0.0765 0.2366 0.3858 x4  3 Sc 2.80-2.87
Br 0.4267 0.7303 0.3757 x4  3 Sc 2.77-2.98

## Properties
- Formation energy without anion corrections: -3.90 eV per formula unit
- E_tot: -60.2 eV per cell
- Total magnetic moment: 0.00 μB per formula unit

=====

The following is a PBE calculation of a geometry-optimized Mn2Zn2Bi structure, from the Alexandria database.

a b c (Å): 7.1799 7.1799 3.0741
angles (deg): 90.00 90.00 90.00
With the nearest neighbours (Å) after each atom.
Space group P4/mbm (No. 127)
Asymmetric unit:
Mn 0.1692 0.3308 0.0000 x4  6 Zn 2.62
Zn 0.1220 0.6220 0.5000 x4  1 Zn 2.48, 6 Mn 2.62
Bi 0.0000 0.0000 0.5000 x2  4 Zn 2.85, 2 Bi 3.07, 8 Mn 3.08

## Properties
- E_tot: -42.0 eV per cell
- Total magnetic moment: 0.00 μB per formula unit
- ΔE_f: 756 meV/atom
- Offset from the most stable computed form: 447.3 meV/atom

=====

The following is a PBE calculation of a geometry-optimized MnAuI4 structure, from the Alexandria database.

a b c (Å): 15.8582 4.0194 8.1474
angles (deg): 90.00 116.12 90.00
With the nearest neighbours (Å) after each atom.
Space group C2/m (No. 12)
Asymmetric unit:
Mn 0.0000 0.0000 0.0000 x2  6 I 2.80-3.11
Au 0.0000 0.5000 0.5000 x2  4 I 2.79
I 0.1005 0.0000 0.4256 x4  2 Au 2.79, 1 Mn 3.11
I 0.1247 0.5000 0.0070 x4  2 Mn 2.80

## Properties
- Formation energy without anion corrections: -1.19 eV per formula unit
- E_tot: -39.7 eV per cell
- Total magnetic moment: 4.41 μB per formula unit
- Offset from the most stable computed form: 0.0 meV/atom

=====

The following is a PBE calculation of a geometry-optimized CsPaCu2O6 structure, from the Alexandria database.

a b c (Å): 11.5317 8.6528 6.6759
angles (deg): 90.00 109.01 90.00
With the nearest neighbours (Å) after each atom.
Space group C2/c (No. 15)
Asymmetric unit:
Cs 0.0000 0.1087 0.2500 x4  6 O 2.96-3.06
Pa 0.0000 0.3893 0.7500 x4  6 O 2.11-2.31
Cu 0.2470 0.4058 0.2075 x8  4 O 1.85-1.91
O 0.0770 0.4063 0.1143 x8  1 Cu 1.85
O 0.1086 0.2063 0.6995 x8  1 Cu 1.85
O 0.2384 0.4598 0.9285 x8  2 Cu 1.89-1.91

## Properties
- Formation energy without anion corrections: -15.95 eV per formula unit
- E_tot: -256.9 eV per cell
- Total magnetic moment: 0.00 μB per formula unit

=====

The following is a PBE calculation of a geometry-optimized DyErRuRh structure, from the Alexandria database.

a b c (Å): 6.7915 6.7915 6.7915
angles (deg): 90.00 90.00 90.00
With the nearest neighbours (Å) after each atom.
Space group F-43m (No. 216)
Asymmetric unit:
Dy 0.0000 0.0000 0.0000 x4  4 Ru 2.94, 4 Rh 2.94
Er 0.0000 0.0000 0.5000 x4  4 Ru 2.94, 4 Rh 2.94
Ru 0.2500 0.2500 0.2500 x4  4 Dy 2.94, 4 Er 2.94
Rh 0.2500 0.2500 0.7500 x4  4 Dy 2.94, 4 Er 2.94

## Properties
- E_tot: -113.7 eV per cell
- Total magnetic moment: 0.00 μB per formula unit
- ΔE_f: -660 meV/atom
- Offset from the most stable computed form: 0.0 meV/atom

=====

The following is a PBE calculation of a geometry-optimized CaSb2Se structure, from the Alexandria database.

a b c (Å): 4.6164 4.3601 5.9042
angles (deg): 90.00 104.31 90.00
With the nearest neighbours (Å) after each atom.
Space group P2/m (No. 10)
Asymmetric unit:
Ca 0.0000 0.0000 0.0000 x1  2 Se 2.95
Sb 0.4208 0.5000 0.7512 x2  1 Sb 2.85, 2 Se 3.05
Se 0.0000 0.0000 0.5000 x1  2 Ca 2.95, 4 Sb 3.05

## Properties
- Formation energy without anion corrections: -1.87 eV per formula unit
- E_tot: -15.6 eV per cell
- Total magnetic moment: 0.00 μB per formula unit

=====

The following is a PBE calculation of a geometry-optimized KGa2HgF8 structure, from the Alexandria database.

a b c (Å): 5.8386 5.8386 21.3298
angles (deg): 90.00 90.00 120.00
With the nearest neighbours (Å) after each atom.
Space group R-3 (No. 148, hexagonal axes)
Asymmetric unit:
K 0.0000 0.0000 0.0000 x3  6 F 2.85
Ga 0.0000 0.0000 0.2553 x6  4 F 1.80
Hg 0.0000 0.0000 0.5000 x3  6 F 2.72
F 0.0000 0.0000 0.3397 x6  1 Ga 1.80
F 0.0110 0.6048 0.4354 x18  1 Ga 1.80

## Properties
- Formation energy without anion corrections: -27.54 eV per formula unit
- E_tot: -149.9 eV per cell
- Total magnetic moment: 0.59 μB per formula unit

=====

The following is a PBE calculation of a geometry-optimized NaPu2AgO8 structure, from the Alexandria database.

a b c (Å): 6.9228 6.9228 8.2402
angles (deg): 90.00 90.00 90.00
With the nearest neighbours (Å) after each atom.
Space group I-4m2 (No. 119)
Asymmetric unit:
Na 0.0000 0.0000 0.0000 x2  4 O 2.30
Pu 0.0000 0.0000 0.5000 x2  4 O 1.94
Pu 0.0000 0.5000 0.7500 x2  4 O 1.90
Ag 0.0000 0.5000 0.2500 x2  4 O 2.23
O 0.0000 0.1920 0.3279 x8  1 Pu 1.94
O 0.0000 0.3202 0.9244 x8  1 Pu 1.90

## Properties
- Formation energy without anion corrections: -16.70 eV per formula unit
- E_tot: -178.4 eV per cell
- Total magnetic moment: 2.55 μB per formula unit